[1]
This record from the Alexandria database describes an optimized crystal structure of HoFe3H6. The functional is PBE-GGA.

Structure (CIF):
```
data_HoFe3H6
_chemical_formula_sum 'Ho3 Fe9 H18'
_cell_length_a 4.3859
_cell_length_b 4.3859
_cell_length_c 14.5855
_cell_angle_alpha 90.00
_cell_angle_beta 90.00
_cell_angle_gamma 120.00
_symmetry_space_group_name_H-M 'R 3'
_symmetry_Int_Tables_number 146
_symmetry_space_group_name_Hall 'R 3'
loop_
_atom_site_label
_atom_site_type_symbol
_atom_site_fract_x
_atom_site_fract_y
_atom_site_fract_z
Ho1 Ho 0.0000 0.0000 0.0000
Fe1 Fe 0.0000 0.0000 0.2038
Fe2 Fe 0.0000 0.0000 0.5342
Fe3 Fe 0.0000 0.0000 0.8151
H1 H 0.0014 0.3810 0.7946
H2 H 0.0032 0.5083 0.9489
```

**Final energy**: -5.159 eV per atom

---

[2]
This record from the Alexandria database describes an optimized crystal structure of PmGaCuAu. The functional is PBE-GGA.

Structure (CIF):
```
data_PmGaCuAu
_chemical_formula_sum 'Pm4 Ga4 Cu4 Au4'
_cell_length_a 6.799
_cell_length_b 6.799
_cell_length_c 6.799
_cell_angle_alpha 90.00
_cell_angle_beta 90.00
_cell_angle_gamma 90.00
_symmetry_space_group_name_H-M 'F -4 3 m'
_symmetry_Int_Tables_number 216
_symmetry_space_group_name_Hall 'F -4 2 3'
loop_
_atom_site_label
_atom_site_type_symbol
_atom_site_fract_x
_atom_site_fract_y
_atom_site_fract_z
Pm1 Pm 0.000 0.000 0.000
Ga1 Ga 0.000 0.000 0.500
Cu1 Cu 0.250 0.250 0.750
Au1 Au 0.250 0.250 0.250
```

**Formation energy**: -436 meV per atom
**Final energy**: -4.224 eV per atom